Ac3AlZn2: optimized geometry, PBE-GGA.

```
data_Ac3AlZn2
_chemical_formula_sum 'Ac3 Al1 Zn2'
_space_group_name_H-M_alt 'P 1'
_space_group_IT_number 1
_cell_length_a 3.9127
_cell_length_b 3.9127
_cell_length_c 11.8331
_cell_angle_alpha 90.00
_cell_angle_beta 90.00
_cell_angle_gamma 90.00
loop_
_space_group_symop_operation_xyz
'x,y,z'
loop_
_atom_site_label
_atom_site_fract_x
_atom_site_fract_y
_atom_site_fract_z
_atom_site_occupancy
Al1 0.5000 0.5000 0.5000 1
Ac1 0.0000 0.0000 0.0000 1
Ac2 0.0000 0.0000 0.6674 1
Ac3 0.0000 0.0000 0.3326 1
Zn1 0.5000 0.5000 0.1645 1
Zn2 0.5000 0.5000 0.8355 1
```

Properties
* M_tot: 0.002 μB/cell
* formation energy: -0.23 eV/atom


KBaMg2: optimized geometry, PBE-GGA.

```
data_KBaMg2
_chemical_formula_sum 'K1 Ba1 Mg2'
_space_group_name_H-M_alt 'P 1'
_space_group_IT_number 1
_cell_length_a 4.3125
_cell_length_b 4.3156
_cell_length_c 9.1160
_cell_angle_alpha 90.00
_cell_angle_beta 90.00
_cell_angle_gamma 90.00
loop_
_space_group_symop_operation_xyz
'x,y,z'
loop_
_atom_site_label
_atom_site_fract_x
_atom_site_fract_y
_atom_site_fract_z
_atom_site_occupancy
Ba1 0.5000 0.5000 0.2500 1
Mg1 0.0000 0.0000 0.4833 1
Mg2 0.0000 0.0000 0.0167 1
K1 0.5000 0.5000 0.7500 1
```

Properties
* relative energy among the computed polymorphs: 0.015 eV per atom
* M_tot: 0.000 μB/cell
* formation energy: 0.11 eV/atom


Al2TcTe2: optimized geometry, PBE-GGA.

```
data_Al2TcTe2
_chemical_formula_sum 'Al2 Tc1 Te2'
_space_group_name_H-M_alt 'P 1'
_space_group_IT_number 1
_cell_length_a 3.5338
_cell_length_b 3.5338
_cell_length_c 9.1035
_cell_angle_alpha 78.81
_cell_angle_beta 78.81
_cell_angle_gamma 90.00
loop_
_space_group_symop_operation_xyz
'x,y,z'
loop_
_atom_site_label
_atom_site_fract_x
_atom_site_fract_y
_atom_site_fract_z
_atom_site_occupancy
Al1 0.2500 0.7500 0.5000 1
Al2 0.7500 0.2500 0.5000 1
Te1 0.4096 0.4096 0.1808 1
Te2 0.5904 0.5904 0.8192 1
Tc1 0.0000 0.0000 0.0000 1
```

Properties
* ΔE_f (raw): 0.42 eV/atom
* relative energy among the computed polymorphs: 0.000 eV per atom
* M_tot: 0.971 μB/cell